one) VASP calculation (PBE) on SbAuSe3 after structural relaxation.

Cell lengths 5.065, 5.065, 5.065 Å; angles 90.00, 90.00, 90.00 degrees
Atoms (fractional coordinates):
Sb: 0.500 0.500 0.500
Au: 0.000 0.000 0.000
Se: 0.000 0.500 0.000
Se: 0.000 0.000 0.500
Se: 0.500 0.000 0.000



two) VASP calculation (PBE) on SbAuSe3 after structural relaxation.

Cell lengths 5.545, 8.856, 6.989 Å; angles 106.00, 90.00, 108.24 degrees
Atoms (fractional coordinates):
Sb: 0.659 0.318 0.346
Sb: 0.341 0.682 0.654
Au: 0.835 0.669 0.057
Au: 0.165 0.331 0.943
Se: 0.818 0.637 0.538
Se: 0.322 0.645 0.025
Se: 0.011 0.023 0.841
Se: 0.182 0.363 0.462
Se: 0.989 0.977 0.159
Se: 0.678 0.355 0.975



Ranked by calculated energy, most stable first: two), one).



one) VASP calculation (PBE) on Sb3AuSe after structural relaxation.

Cell lengths 5.378, 5.378, 5.378 Å; angles 90.00, 90.00, 90.00 degrees
Atoms (fractional coordinates):
Sb: 0.000 0.500 0.000
Sb: 0.000 0.000 0.500
Sb: 0.500 0.000 0.000
Au: 0.500 0.500 0.500
Se: 0.000 0.000 0.000



two) VASP calculation (PBE) on Sb3AuSe after structural relaxation.

Cell lengths 5.377, 5.377, 5.377 Å; angles 90.00, 90.00, 90.00 degrees
Atoms (fractional coordinates):
Sb: 0.000 0.500 0.000
Sb: 0.000 0.000 0.500
Sb: 0.500 0.000 0.000
Au: 0.000 0.000 0.000
Se: 0.500 0.500 0.500



Ranked by calculated energy, most stable first: two), one).



one) VASP calculation (PBE) on Sb2Au2Se after structural relaxation.

Cell lengths 7.681, 7.681, 3.877 Å; angles 90.00, 90.00, 90.00 degrees
Atoms (fractional coordinates):
Sb: 0.166 0.666 0.500
Sb: 0.666 0.834 0.500
Sb: 0.834 0.334 0.500
Sb: 0.334 0.166 0.500
Au: 0.367 0.867 0.000
Au: 0.867 0.633 0.000
Au: 0.633 0.133 0.000
Au: 0.133 0.367 0.000
Se: 0.000 0.000 0.000
Se: 0.500 0.500 0.000



two) VASP calculation (PBE) on Sb2Au2Se after structural relaxation.

Cell lengths 8.014, 8.014, 3.733 Å; angles 90.00, 90.00, 90.00 degrees
Atoms (fractional coordinates):
Sb: 0.305 0.805 0.000
Sb: 0.805 0.695 0.000
Sb: 0.695 0.195 0.000
Sb: 0.195 0.305 0.000
Au: 0.121 0.621 0.500
Au: 0.621 0.879 0.500
Au: 0.879 0.379 0.500
Au: 0.379 0.121 0.500
Se: 0.000 0.000 0.000
Se: 0.500 0.500 0.000



Ranked by calculated energy, most stable first: two), one).



one) VASP calculation (PBE) on SiSbAu3 after structural relaxation.

Cell lengths 4.823, 4.823, 4.823 Å; angles 90.00, 90.00, 90.00 degrees
Atoms (fractional coordinates):
Sb: 0.500 0.500 0.500
Si: 0.000 0.000 0.000
Au: 0.000 0.500 0.000
Au: 0.000 0.000 0.500
Au: 0.500 0.000 0.000



two) VASP calculation (PBE) on SiSbAu3 after structural relaxation.

Cell lengths 5.883, 5.709, 12.836 Å; angles 76.49, 90.00, 90.00 degrees
Atoms (fractional coordinates):
Si: 0.064 0.912 0.431
Si: 0.936 0.088 0.569
Si: 0.564 0.088 0.069
Si: 0.436 0.912 0.931
Sb: 0.045 0.774 0.188
Sb: 0.955 0.226 0.812
Sb: 0.545 0.226 0.312
Sb: 0.455 0.774 0.688
Au: 0.037 0.239 0.269
Au: 0.963 0.761 0.731
Au: 0.537 0.761 0.231
Au: 0.463 0.239 0.769
Au: 0.452 0.764 0.459
Au: 0.548 0.236 0.541
Au: 0.952 0.236 0.041
Au: 0.048 0.764 0.959
Au: 0.139 0.442 0.595
Au: 0.861 0.558 0.405
Au: 0.639 0.558 0.905
Au: 0.361 0.442 0.095



three) VASP calculation (PBE) on SiSbAu3 after structural relaxation.

Cell lengths 5.190, 5.190, 5.190 Å; angles 90.00, 90.00, 90.00 degrees
Atoms (fractional coordinates):
Sb: 0.000 0.000 0.000
Si: 0.500 0.500 0.500
Au: 0.000 0.500 0.000
Au: 0.000 0.000 0.500
Au: 0.500 0.000 0.000



Ranked by calculated energy, most stable first: two), one), three).